## Ac4Be2Ge5 (GGA-PBE)

Data for a relaxed Ac4Be2Ge5 crystal.

The space group is P2/m (No. 10) and the conventional cell measures 7.354, 4.626 and 8.269 Å, with angles of 90.00, 93.49 and 90.00 degrees. Symmetry generates all atoms from Ac at (0.230, 0.000, 0.136), Ac at (0.270, 0.000, 0.642), Be at (0.074, 0.500, 0.390), Ge at (0.091, 0.500, 0.867), Ge at (0.393, 0.500, 0.372) and Ge at (0.500, 0.500, 0.000).

The calculation puts the volume at 25.5 Å³ per atom. The formation enthalpy at 0 K is -0.508 eV/atom. The density is 7624 kg/m³.

## TbDyEr2Se4 (GGA-PBE)

Data for a relaxed TbDyEr2Se4 crystal.

The space group is P2/m (No. 10) and the conventional cell measures 7.019, 4.009 and 7.110 Å, with angles of 90.00, 108.83 and 90.00 degrees. Symmetry generates all atoms from Tb at (0.000, 0.000, 0.000), Dy at (0.500, 0.500, 0.000), Er at (0.000, 0.500, 0.500), Er at (0.500, 0.000, 0.500), Se at (0.249, 0.000, 0.745) and Se at (0.253, 0.500, 0.255).

The value obtained for the energy relative to the elements, uncorrected is -1.725 eV/atom. The calculation puts the volume at 23.7 Å³ per atom. The density is 8523 kg/m³.

## CoRe3 (GGA-PBE)

Data for a relaxed CoRe3 crystal.

The space group is P6_3/mmc (No. 194) and the conventional cell measures 5.4121, 5.4121 and 8.7387 Å, with angles of 90.00, 90.00 and 120.00 degrees. Symmetry generates all atoms from Co at (0.0000, 0.0000, 0.0000), Co at (0.3333, 0.6667, 0.2500), Re at (0.0000, 0.5000, 0.0000) and Re at (0.1655, 0.3311, 0.7500).

The calculation puts the volume at 13.9 Å³ per atom. The formation enthalpy at 0 K is -0.023 eV/atom. The density is 18504 kg/m³.

## Rb2CrTeI6 (GGA-PBE)

Data for a relaxed Rb2CrTeI6 crystal.

The space group is I4/mmm (No. 139) and the conventional cell measures 8.610, 8.610 and 11.793 Å, with angles of 90.00, 90.00 and 90.00 degrees. Symmetry generates all atoms from Rb at (0.000, 0.500, 0.250), Cr at (0.000, 0.000, 0.000), Te at (0.000, 0.000, 0.500), I at (0.000, 0.000, 0.245) and I at (0.229, 0.229, 0.000).

The value obtained for the energy relative to the elements, uncorrected is -0.627 eV/atom. The calculation puts the volume at 43.7 Å³ per atom. The density is 4224 kg/m³.

## CsMgBi (GGA-PBE)

Data for a relaxed CsMgBi crystal.

The space group is P2_1 (No. 4) and the conventional cell measures 6.098, 6.120 and 9.530 Å, with angles of 90.00, 108.64 and 90.00 degrees. Symmetry generates all atoms from Cs at (0.145, 0.000, 0.305), Mg at (0.500, 0.248, 0.001) and Bi at (0.385, 0.000, 0.744).

The calculation puts the volume at 56.2 Å³ per atom. The formation enthalpy at 0 K is -0.196 eV/atom. The density is 3609 kg/m³.

## Ho9In3N2 (GGA-PBE)

Data for a relaxed Ho9In3N2 crystal.

The space group is P-3m1 (No. 164) and the conventional cell measures 6.8062, 6.8062 and 8.3408 Å, with angles of 90.00, 90.00 and 120.00 degrees. Symmetry generates all atoms from Ho at (0.0000, 0.5000, 0.0000), Ho at (0.1701, 0.3403, 0.6712), In at (0.0000, 0.0000, 0.0000), In at (0.3333, 0.6667, 0.3337) and N at (0.3333, 0.6667, 0.8346).

The value obtained for the energy relative to the elements, uncorrected is -0.769 eV/atom. The calculation puts the volume at 23.9 Å³ per atom. The density is 9215 kg/m³.

## Th2MgCd3 (GGA-PBE)

Data for a relaxed Th2MgCd3 crystal.

The space group is P6_3/mmc (No. 194) and the conventional cell measures 6.1760, 6.1760 and 9.2116 Å, with angles of 90.00, 90.00 and 120.00 degrees. Symmetry generates all atoms from Th at (0.3333, 0.6667, 0.0763), Mg at (0.0000, 0.0000, 0.0000) and Cd at (0.1722, 0.3445, 0.7500).

The calculation puts the volume at 25.4 Å³ per atom. Its energy above the lowest structure with this stoichiometry is 0 meV per atom. The formation enthalpy at 0 K is -0.129 eV/atom. The density is 9011 kg/m³.

## ThZrCd (GGA-PBE)

Data for a relaxed ThZrCd crystal.

The space group is P3m1 (No. 156) and the conventional cell measures 5.2460, 5.2460 and 3.3203 Å, with angles of 90.00, 90.00 and 120.00 degrees. Symmetry generates all atoms from Th at (0.0000, 0.0000, 0.0000), Zr at (0.3333, 0.6667, 0.4993) and Cd at (0.6667, 0.3333, 0.5015).

The calculation puts the volume at 26.4 Å³ per atom. Its energy above the lowest structure with this stoichiometry is 146 meV per atom. The formation enthalpy at 0 K is 0.114 eV/atom. The density is 9142 kg/m³.

## NaBeCu3 (GGA-PBE)

Data for a relaxed NaBeCu3 crystal.

The space group is Pm-3m (No. 221) and the conventional cell measures 4.464, 4.464 and 4.464 Å, with angles of 90.00, 90.00 and 90.00 degrees. Symmetry generates all atoms from Na at (0.000, 0.000, 0.000), Be at (0.500, 0.500, 0.500) and Cu at (0.000, 0.000, 0.500).

The calculation puts the volume at 17.8 Å³ per atom. Its energy above the lowest structure with this stoichiometry is 1219 meV per atom. The formation enthalpy at 0 K is 1.555 eV/atom. The density is 4155 kg/m³.

## CuRhAu2 (GGA-PBE)

Data for a relaxed CuRhAu2 crystal.

The space group is R3m (No. 160, hexagonal axes) and the conventional cell measures 2.8344, 2.8344 and 27.2268 Å, with angles of 90.00, 90.00 and 120.00 degrees. Symmetry generates all atoms from Cu at (0.0000, 0.0000, 0.0000), Rh at (0.0000, 0.0000, 0.1672), Au at (0.0000, 0.0000, 0.4134) and Au at (0.0000, 0.0000, 0.5871).

The calculation puts the volume at 15.8 Å³ per atom. Its energy above the lowest structure with this stoichiometry is 65 meV per atom. The formation enthalpy at 0 K is 0.127 eV/atom. The density is 14737 kg/m³.

## Zn4Pt2Au (GGA-PBE)

Data for a relaxed Zn4Pt2Au crystal.

The space group is Cmmm (No. 65) and the conventional cell measures 5.740, 8.983 and 4.453 Å, with angles of 90.00, 90.00 and 90.00 degrees. Symmetry generates all atoms from Zn at (0.223, 0.000, 0.000), Zn at (0.250, 0.250, 0.500), Pt at (0.000, 0.260, 0.000) and Au at (0.000, 0.500, 0.500).

The calculation puts the volume at 16.4 Å³ per atom. The formation enthalpy at 0 K is -0.410 eV/atom. The density is 12279 kg/m³.

## Pr8Rh3CI4 (GGA-PBE)

Data for a relaxed Pr8Rh3CI4 crystal.

The space group is C2/m (No. 12) and the conventional cell measures 14.433, 8.324 and 9.458 Å, with angles of 90.00, 120.63 and 90.00 degrees. Symmetry generates all atoms from Pr at (0.019, 0.236, 0.324), Pr at (0.217, 0.000, 0.676), Pr at (0.230, 0.500, 0.690), Rh at (0.000, 0.500, 0.500), Rh at (0.250, 0.250, 0.500), C at (0.000, 0.000, 0.500), I at (0.000, 0.000, 0.000), I at (0.000, 0.500, 0.000) and I at (0.250, 0.250, 0.000).

The value obtained for the energy relative to the elements, uncorrected is -0.816 eV/atom. The calculation puts the volume at 30.6 Å³ per atom. The density is 6642 kg/m³.

## LaCr2Cu (GGA-PBE)

Data for a relaxed LaCr2Cu crystal.

The space group is P4/mmm (No. 123) and the conventional cell measures 3.339, 3.339 and 6.498 Å, with angles of 90.00, 90.00 and 90.00 degrees. Symmetry generates all atoms from La at (0.000, 0.000, 0.000), Cr at (0.500, 0.500, 0.354) and Cu at (0.000, 0.000, 0.500).

The calculation puts the volume at 18.1 Å³ per atom. Its energy above the lowest structure with this stoichiometry is 236 meV per atom. The formation enthalpy at 0 K is 0.531 eV/atom. The density is 7023 kg/m³.

## Sr2Zn3NiSn4 (GGA-PBE)

Data for a relaxed Sr2Zn3NiSn4 crystal.

The space group is P-4m2 (No. 115) and the conventional cell measures 4.638, 4.638 and 11.244 Å, with angles of 90.00, 90.00 and 90.00 degrees. Symmetry generates all atoms from Sr at (0.000, 0.500, 0.236), Zn at (0.000, 0.000, 0.000), Zn at (0.000, 0.500, 0.644), Ni at (0.500, 0.500, 0.000), Sn at (0.000, 0.000, 0.500), Sn at (0.000, 0.500, 0.881) and Sn at (0.500, 0.500, 0.500).

The calculation puts the volume at 24.2 Å³ per atom. The formation enthalpy at 0 K is -0.345 eV/atom. The density is 6213 kg/m³.

## PmPrSn2 (GGA-PBE)

Data for a relaxed PmPrSn2 crystal.

The space group is P4/mmm (No. 123) and the conventional cell measures 5.002, 5.002 and 4.570 Å, with angles of 90.00, 90.00 and 90.00 degrees. Symmetry generates all atoms from Pm at (0.000, 0.000, 0.000), Pr at (0.500, 0.500, 0.000) and Sn at (0.000, 0.500, 0.500).

The calculation puts the volume at 28.6 Å³ per atom. The formation enthalpy at 0 K is -0.669 eV/atom. The density is 7599 kg/m³.

## NdTlPt (GGA-PBE)

Data for a relaxed NdTlPt crystal.

The space group is P-6m2 (No. 187) and the conventional cell measures 4.7972, 4.7972 and 3.6797 Å, with angles of 90.00, 90.00 and 120.00 degrees. Symmetry generates all atoms from Nd at (0.0000, 0.0000, 0.0000), Tl at (0.6667, 0.3333, 0.5000) and Pt at (0.3333, 0.6667, 0.5000).

The calculation puts the volume at 24.4 Å³ per atom. The formation enthalpy at 0 K is -0.630 eV/atom. The density is 12311 kg/m³.

## Dy2Ga6Os (GGA-PBE)

Data for a relaxed Dy2Ga6Os crystal.

The space group is C2/m (No. 12) and the conventional cell measures 9.906, 5.778 and 5.841 Å, with angles of 90.00, 91.05 and 90.00 degrees. Symmetry generates all atoms from Dy at (0.168, 0.000, 0.141), Ga at (0.085, 0.238, 0.680), Ga at (0.177, 0.500, 0.326) and Os at (0.000, 0.500, 0.000).

The calculation puts the volume at 18.6 Å³ per atom. The formation enthalpy at 0 K is -0.445 eV/atom. The density is 9275 kg/m³.

## Rb2BaTaCr (GGA-PBE)

Data for a relaxed Rb2BaTaCr crystal.

The space group is P4/mmm (No. 123) and the conventional cell measures 7.068, 7.068 and 5.439 Å, with angles of 90.00, 90.00 and 90.00 degrees. Symmetry generates all atoms from Rb at (0.000, 0.500, 0.000), Ba at (0.000, 0.000, 0.000), Ta at (0.000, 0.000, 0.500) and Cr at (0.500, 0.500, 0.500).

The calculation puts the volume at 54.3 Å³ per atom. The formation enthalpy at 0 K is 2.018 eV/atom. The density is 3308 kg/m³.

## CaPt2Cl (GGA-PBE)

Data for a relaxed CaPt2Cl crystal.

The space group is P4/mmm (No. 123) and the conventional cell measures 3.010, 3.010 and 8.309 Å, with angles of 90.00, 90.00 and 90.00 degrees. Symmetry generates all atoms from Ca at (0.000, 0.000, 0.000), Pt at (0.500, 0.500, 0.256) and Cl at (0.000, 0.000, 0.500).

The value obtained for the energy relative to the elements, uncorrected is -0.060 eV/atom. The calculation puts the volume at 18.8 Å³ per atom. Its energy above the lowest structure with this stoichiometry is 801 meV per atom. The density is 10271 kg/m³.

## AlCoSeN2 (GGA-PBE)

Data for a relaxed AlCoSeN2 crystal.

The space group is P4/mmm (No. 123) and the conventional cell measures 3.625, 3.625 and 5.712 Å, with angles of 90.00, 90.00 and 90.00 degrees. Symmetry generates all atoms from Al at (0.000, 0.000, 0.000), Co at (0.500, 0.500, 0.500), Se at (0.000, 0.000, 0.500) and N at (0.000, 0.500, 0.000).

The value obtained for the energy relative to the elements, uncorrected is 0.872 eV/atom. The calculation puts the volume at 15.0 Å³ per atom. Its energy above the lowest structure with this stoichiometry is 40 meV per atom. The density is 4267 kg/m³.

Calculated magnetization in order - 0.000 0.000 0.000 10.503 0.000 0.000 0.000 0.000 0.000 1.272 0.000 0.000 0.000 0.000 0.002 0.000 0.000 6.967 0.000 3.457 μB/cell